# NbCr3Cl2O6

Crystalline NbCr3Cl2O6 at its relaxed geometry (PBE with a Hubbard U, the Alexandria database).

Summary:
total energy: -7.22 eV/atom

abc: 6.1143 6.1143 5.0594
angles: 99.32 99.32 58.74
Last column: nearest neighbours and their distance in Å.
Atoms (fractional coordinates):
Nb: 0.0000 0.0000 0.0000  6 O 1.98-2.08
Cr: 0.0000 0.5000 0.0000  4 O 1.95-2.05
Cr: 0.5000 0.0000 0.0000  4 O 1.95-2.05
Cr: 0.5000 0.5000 0.5000  4 O 2.09
Cl: 0.3066 0.3066 0.6817  3 Cr 2.36-2.41
Cl: 0.6934 0.6934 0.3183  3 Cr 2.36-2.41
O: 0.1823 0.1823 0.1770  2 Cr 1.95, 1 Nb 1.98
O: 0.1834 0.6816 0.2205  2 Cr 2.05-2.09, 1 Nb 2.08
O: 0.3184 0.8166 0.7795  2 Cr 2.05-2.09, 1 Nb 2.08
O: 0.6816 0.1834 0.2205  2 Cr 2.05-2.09, 1 Nb 2.08
O: 0.8166 0.3184 0.7795  2 Cr 2.05-2.09, 1 Nb 2.08
O: 0.8177 0.8177 0.8230  2 Cr 1.95, 1 Nb 1.98